# 1
Computed, not measured: Ba2DyPdO5 after structural relaxation at the PBE-GGA level of DFT.

Computed properties:
crystal system: orthorhombic
D(E_F): 5.0 states/eV/cell
spin magnetization: 0.000 μB per formula unit
formation energy from raw total energies: -2154 meV per atom
total energy: -6.425 eV/atom

Cell and atoms, written as POSCAR:
```
Ba2DyPdO5
1.0
1.7840 -7.0126 0.0000
1.7840 7.0126 0.0000
0.0000 0.0000 11.9886
Ba Dy Pd O
4 2 2 10
direct
0.0963 0.9037 0.5000 Ba
0.1491 0.8509 0.1209 Ba
0.8509 0.1491 0.6209 Ba
0.9037 0.0963 0.0000 Ba
0.2070 0.7930 0.8357 Dy
0.7930 0.2070 0.3357 Dy
0.4793 0.5207 0.2636 Pd
0.5207 0.4793 0.7636 Pd
0.0501 0.9499 0.8656 O
0.2774 0.7226 0.4543 O
0.3328 0.6672 0.2127 O
0.3719 0.6281 0.8033 O
0.4845 0.5155 0.5979 O
0.5155 0.4845 0.0979 O
0.6281 0.3719 0.3033 O
0.6672 0.3328 0.7127 O
0.7226 0.2774 0.9543 O
0.9499 0.0501 0.3656 O
```


# 2
Computed, not measured: Ca2MgCd6 after structural relaxation at the PBE-GGA level of DFT.

Computed properties:
energy of formation: -0.23 eV per atom
crystal system: hexagonal
D(E_F): 5.4 states/eV/cell
spin magnetization: 0.000 μB per formula unit
total energy: -1.467 eV/atom

Cell and atoms, written as POSCAR:
```
Ca2MgCd6
1.0
8.6602 0.0000 0.0000
-4.3301 7.4999 0.0000
0.0000 0.0000 3.4670
Ca Mg Cd
2 1 6
direct
0.3333 0.6667 0.0000 Ca
0.6667 0.3333 0.0000 Ca
0.0000 0.0000 0.0000 Mg
0.0000 0.3295 0.5000 Cd
0.0000 0.6705 0.5000 Cd
0.3295 0.0000 0.5000 Cd
0.3295 0.3295 0.5000 Cd
0.6705 0.0000 0.5000 Cd
0.6705 0.6705 0.5000 Cd
```


# 3
Computed, not measured: OsBr2N after structural relaxation at the PBE-GGA level of DFT.

Computed properties:
crystal system: trigonal
D(E_F): 11.9 states/eV/cell
spin magnetization: 0.295 μB per formula unit
formation energy from raw total energies: 1908 meV per atom
total energy: -3.818 eV/atom

Cell and atoms, written as POSCAR:
```
OsBr2N
1.0
3.1465 0.0000 0.0000
-1.5733 2.7250 0.0000
0.0000 0.0000 23.9250
Os Br N
3 6 3
direct
0.0000 0.0000 0.0000 Os
0.3333 0.6667 0.6667 Os
0.6667 0.3333 0.3333 Os
0.0000 0.0000 0.0988 Br
0.0000 0.0000 0.9012 Br
0.3333 0.6667 0.5679 Br
0.3333 0.6667 0.7655 Br
0.6667 0.3333 0.2345 Br
0.6667 0.3333 0.4321 Br
0.0000 0.0000 0.5000 N
0.3333 0.6667 0.1667 N
0.6667 0.3333 0.8333 N
```


# 4
Computed, not measured: BaZr2US8 after structural relaxation at the PBE-GGA level of DFT.

Computed properties:
crystal system: triclinic
spin magnetization: 0.000 μB per formula unit
formation energy from raw total energies: -1315 meV per atom
total energy: -6.593 eV/atom

Cell and atoms, written as POSCAR:
```
BaZr2US8
1.0
6.1029 0.0000 0.0000
0.1004 6.4293 0.0000
0.0195 0.0145 8.0537
Ba Zr U S
1 2 1 8
direct
0.0000 0.0000 0.0000 Ba
0.4994 0.5000 0.2439 Zr
0.5006 0.5000 0.7561 Zr
0.0000 0.0000 0.5000 U
0.2560 0.8233 0.7032 S
0.2576 0.8248 0.2963 S
0.2668 0.3936 0.0005 S
0.2712 0.3251 0.5003 S
0.7288 0.6749 0.4997 S
0.7332 0.6064 0.9995 S
0.7424 0.1752 0.7037 S
0.7440 0.1767 0.2968 S
```


# 5
Computed, not measured: NaTl3C after structural relaxation at the PBE-GGA level of DFT.

Computed properties:
energy of formation: 1.63 eV per atom
crystal system: cubic
D(E_F): 3.4 states/eV/cell
spin magnetization: 1.803 μB per formula unit
total energy: -1.902 eV/atom

Cell and atoms, written as POSCAR:
```
NaTl3C
1.0
5.6833 0.0000 0.0000
0.0000 5.6833 0.0000
0.0000 0.0000 5.6833
Na Tl C
1 3 1
direct
0.0000 0.0000 0.0000 Na
0.0000 0.0000 0.5000 Tl
0.0000 0.5000 0.0000 Tl
0.5000 0.0000 0.0000 Tl
0.5000 0.5000 0.5000 C
```


# 6
Computed, not measured: ScCdSn after structural relaxation at the PBE-GGA level of DFT.

Computed properties:
energy of formation: -0.40 eV per atom
crystal system: tetragonal
D(E_F): 4.0 states/eV/cell
spin magnetization: 0.000 μB per formula unit
total energy: -4.154 eV/atom

Cell and atoms, written as POSCAR:
```
ScCdSn
1.0
4.2443 0.0000 0.0000
0.0000 4.2443 0.0000
0.0000 0.0000 15.4286
Sc Cd Sn
4 4 4
direct
0.0000 0.0000 0.1613 Sc
0.0000 0.0000 0.8387 Sc
0.5000 0.5000 0.3387 Sc
0.5000 0.5000 0.6613 Sc
0.0000 0.5000 0.0000 Cd
0.0000 0.5000 0.5000 Cd
0.5000 0.0000 0.0000 Cd
0.5000 0.0000 0.5000 Cd
0.0000 0.0000 0.3516 Sn
0.0000 0.0000 0.6484 Sn
0.5000 0.5000 0.1484 Sn
0.5000 0.5000 0.8516 Sn
```


# 7
Computed, not measured: TbPuHg after structural relaxation at the PBE-GGA level of DFT.

Computed properties:
energy of formation: -0.12 eV per atom
crystal system: tetragonal
D(E_F): 15.3 states/eV/cell
spin magnetization: 6.446 μB per formula unit
total energy: -6.537 eV/atom

Cell and atoms, written as POSCAR:
```
TbPuHg
1.0
3.5422 0.0000 0.0000
0.0000 3.5422 0.0000
0.0000 0.0000 13.2369
Tb Pu Hg
2 2 2
direct
0.0000 0.0000 0.0000 Tb
0.5000 0.5000 0.5000 Tb
0.0000 0.0000 0.6885 Pu
0.5000 0.5000 0.1885 Pu
0.0000 0.0000 0.3504 Hg
0.5000 0.5000 0.8504 Hg
```


# 8
Computed, not measured: La3Dy after structural relaxation at the PBE-GGA level of DFT.

Computed properties:
energy of formation: 0.04 eV per atom
crystal system: orthorhombic
D(E_F): 14.1 states/eV/cell
spin magnetization: 0.000 μB per formula unit
total energy: -4.811 eV/atom

Cell and atoms, written as POSCAR:
```
La3Dy
1.0
3.7285 0.0000 0.0000
0.0000 11.9799 0.0000
0.0000 0.0000 6.4246
La Dy
6 2
direct
0.0000 0.0000 0.0000 La
0.0000 0.2477 0.3338 La
0.0000 0.7523 0.3338 La
0.5000 0.2523 0.8338 La
0.5000 0.5000 0.5000 La
0.5000 0.7477 0.8338 La
0.0000 0.5000 0.0003 Dy
0.5000 0.0000 0.5003 Dy
```


# 9
Computed, not measured: Ga2Ni after structural relaxation at the PBE-GGA level of DFT.

Computed properties:
energy of formation: -0.33 eV per atom
crystal system: tetragonal
D(E_F): 5.2 states/eV/cell
spin magnetization: 0.000 μB per formula unit
total energy: -4.272 eV/atom

Cell and atoms, written as POSCAR:
```
Ga2Ni
1.0
4.0437 0.0000 0.0000
0.0000 4.0437 0.0000
0.0000 0.0000 11.3226
Ga Ni
8 4
direct
0.0000 0.5000 0.0000 Ga
0.0000 0.5000 0.2500 Ga
0.0000 0.5000 0.5000 Ga
0.0000 0.5000 0.7500 Ga
0.5000 0.0000 0.0000 Ga
0.5000 0.0000 0.2500 Ga
0.5000 0.0000 0.5000 Ga
0.5000 0.0000 0.7500 Ga
0.0000 0.0000 0.1193 Ni
0.0000 0.0000 0.8807 Ni
0.5000 0.5000 0.3807 Ni
0.5000 0.5000 0.6193 Ni
```


# 10
Computed, not measured: Tm4Cd2N after structural relaxation at the PBE-GGA level of DFT.

Computed properties:
crystal system: tetragonal
D(E_F): 15.1 states/eV/cell
spin magnetization: 0.000 μB per formula unit
formation energy from raw total energies: -577 meV per atom
total energy: -4.583 eV/atom

Cell and atoms, written as POSCAR:
```
Tm4Cd2N
1.0
4.7378 0.0000 0.0000
0.0000 4.7378 0.0000
0.0000 0.0000 14.8781
Tm Cd N
8 4 2
direct
0.0000 0.0000 0.1644 Tm
0.0000 0.0000 0.8356 Tm
0.0000 0.5000 0.0000 Tm
0.0000 0.5000 0.5000 Tm
0.5000 0.0000 0.0000 Tm
0.5000 0.0000 0.5000 Tm
0.5000 0.5000 0.3356 Tm
0.5000 0.5000 0.6644 Tm
0.0000 0.0000 0.3667 Cd
0.0000 0.0000 0.6333 Cd
0.5000 0.5000 0.1333 Cd
0.5000 0.5000 0.8667 Cd
0.0000 0.0000 0.0000 N
0.5000 0.5000 0.5000 N
```


# 11
Computed, not measured: Mg2AgHg2 after structural relaxation at the PBE-GGA level of DFT.

Computed properties:
energy of formation: -0.13 eV per atom
crystal system: monoclinic
D(E_F): 2.8 states/eV/cell
spin magnetization: 0.000 μB per formula unit
total energy: -1.457 eV/atom

Cell and atoms, written as POSCAR:
```
Mg2AgHg2
1.0
9.9536 0.0000 0.0000
0.0000 4.0659 0.0000
-4.7995 0.0000 5.1276
Mg Ag Hg
4 2 4
direct
0.0785 0.0000 0.3657 Mg
0.4215 0.5000 0.6343 Mg
0.5785 0.5000 0.3657 Mg
0.9215 0.0000 0.6343 Mg
0.0000 0.5000 0.0000 Ag
0.5000 0.0000 0.0000 Ag
0.2049 0.5000 0.7804 Hg
0.2951 0.0000 0.2196 Hg
0.7049 0.0000 0.7804 Hg
0.7951 0.5000 0.2196 Hg
```


# 12
Computed, not measured: Ca3ScU3N8 after structural relaxation at the PBE-GGA level of DFT.

Computed properties:
crystal system: trigonal
D(E_F): 8.9 states/eV/cell
spin magnetization: 3.042 μB per formula unit
formation energy from raw total energies: -1293 meV per atom
total energy: -8.813 eV/atom

Cell and atoms, written as POSCAR:
```
Ca3ScU3N8
1.0
3.4231 1.9763 5.6696
-3.4231 1.9763 5.6696
0.0000 -3.9526 5.6696
Ca Sc U N
3 1 3 8
direct
0.0000 0.5000 0.5000 Ca
0.5000 0.0000 0.5000 Ca
0.5000 0.5000 0.0000 Ca
0.5000 0.5000 0.5000 Sc
0.0000 0.0000 0.5000 U
0.0000 0.5000 0.0000 U
0.5000 0.0000 0.0000 U
0.2298 0.7310 0.7310 N
0.2418 0.2418 0.2418 N
0.2690 0.2690 0.7702 N
0.2690 0.7702 0.2690 N
0.7310 0.2298 0.7310 N
0.7310 0.7310 0.2298 N
0.7582 0.7582 0.7582 N
0.7702 0.2690 0.2690 N
```


> Look up the spin magnetization of the fifth one.

1.803 μB per formula unit


> Look up the total energy of the second one.

-1.467 eV/atom